TaRe2Ag | PBE | relaxed

- energy above the lowest structure with this stoichiometry (meV/atom) = 107
- total DFT energy (no corrections) (eV/cell) = -38.24
- energy of formation (eV/atom) = 0.3408
- DOS at the Fermi energy (states/eV/f.u.) = 2.563

Structure (POSCAR):
```
TaRe2Ag
1.0
4.5755 0.0000 0.0000
0.0000 2.6997 -0.0005
0.0000 0.8425 5.2615
Re Ag Ta
2 1 1
Direct
0.0000 0.0092 0.9988
0.0000 0.4908 0.5012
0.5000 0.7500 0.7500
0.5000 0.2500 0.2500
```

LiAl2Cu3 | PBE | relaxed

- energy above the lowest structure with this stoichiometry (meV/atom) = 0
- total DFT energy (no corrections) (eV/cell) = -45.94
- energy of formation (eV/atom) = -0.2135
- DOS at the Fermi energy (states/eV/f.u.) = 1.501

Structure (POSCAR):
```
LiAl2Cu3
1.0
3.9489 -0.0389 -1.0655
-2.8367 5.9427 -2.8349
-0.2094 -0.5994 7.1411
Li Al Cu
2 4 6
Direct
0.2500 0.4188 0.5812
0.7500 0.5812 0.4188
0.2500 0.0853 0.9147
0.2500 0.7429 0.2571
0.7500 0.9147 0.0853
0.7500 0.2571 0.7429
0.5093 0.8438 0.6757
0.0093 0.6757 0.8438
0.5000 0.5000 0.0000
0.4907 0.1562 0.3243
0.0000 0.0000 0.5000
0.9907 0.3243 0.1562
```

Sc2InAu2 | PBE | relaxed

- total DFT energy (no corrections) (eV/cell) = -102.54
- energy of formation (eV/atom) = -0.7355
- DOS at the Fermi energy (states/eV/f.u.) = 4.401

Structure (POSCAR):
```
Sc2InAu2
1.0
7.6714 0.0000 0.0000
0.0000 7.6714 0.0000
0.0000 0.0000 7.0092
Sc In Au
8 4 8
Direct
0.1528 0.1528 0.0000
0.8472 0.8472 0.0000
0.6528 0.3472 0.5000
0.3472 0.6528 0.5000
0.6817 0.3183 0.0000
0.3183 0.6817 0.0000
0.8183 0.8183 0.5000
0.1817 0.1817 0.5000
0.5000 0.0000 0.2500
0.5000 0.0000 0.7500
0.0000 0.5000 0.2500
0.0000 0.5000 0.7500
0.3689 0.3689 0.2214
0.6311 0.6311 0.7786
0.6311 0.6311 0.2214
0.8689 0.1311 0.7214
0.8689 0.1311 0.2786
0.3689 0.3689 0.7786
0.1311 0.8689 0.2786
0.1311 0.8689 0.7214
```

ScFe2Pb | PBE | relaxed

- total DFT energy (no corrections) (eV/cell) = -26.20
- energy of formation (eV/atom) = 0.1908
- DOS at the Fermi energy (states/eV/f.u.) = 4.956

Structure (POSCAR):
```
ScFe2Pb
1.0
3.4402 0.0000 0.0000
0.0000 3.4411 0.0000
0.0000 0.0000 6.0572
Fe Pb Sc
2 1 1
Direct
0.0000 0.0000 0.9572
0.0000 0.0000 0.5428
0.5000 0.5000 0.2500
0.5000 0.5000 0.7500
```

AcHoSiRh | PBE | relaxed

- total DFT energy (no corrections) (eV/cell) = -23.30
- DOS at the Fermi energy (states/eV/f.u.) = 3.118
- energy relative to the elements, uncorrected (eV per atom) = -0.459

Structure (POSCAR):
```
AcHoSiRh
1.0
5.1447 0.0000 0.0000
2.5723 4.4554 0.0000
2.5723 1.4851 4.2006
Si Ac Rh Ho
1 1 1 1
Direct
0.7500 0.7500 0.7500
0.5000 0.5000 0.5000
0.2500 0.2500 0.2500
0.0000 0.0000 0.0000
```

Cs3Nd3NbO8 | PBE | relaxed

- total DFT energy (no corrections) (eV/cell) = -104.09
- DOS at the Fermi energy (states/eV/f.u.) = 2.931
- energy relative to the elements, uncorrected (eV per atom) = -2.500

Structure (POSCAR):
```
Cs3Nd3NbO8
1.0
7.1576 0.0003 0.0000
-3.5786 6.1982 -0.0229
-0.0001 -4.1084 7.0146
Cs Nd Nb O
3 3 1 8
Direct
0.0000 0.0000 0.0000
0.0000 0.5000 0.0000
0.5000 0.5000 0.0000
0.5000 0.0000 0.5000
0.5000 0.5000 0.5000
0.0000 0.5000 0.5000
0.0000 0.0000 0.5000
0.2775 0.5550 0.3325
0.7225 0.4450 0.6675
0.8009 0.6017 0.3491
0.1991 0.3983 0.6509
0.8009 0.0481 0.3490
0.1991 0.9519 0.6510
0.2472 0.0481 0.3490
0.7528 0.9519 0.6510
```

Ac5Ge3Te12 | PBE | relaxed

- total DFT energy (no corrections) (eV/cell) = -332.83
- DOS at the Fermi energy (states/eV/f.u.) = 15.720
- energy relative to the elements, uncorrected (eV per atom) = -0.556

Structure (POSCAR):
```
Ac5Ge3Te12
1.0
-4.2814 -13.0637 -8.7948
12.4715 7.6068 -7.2758
4.4989 -4.7450 14.9527
Ge Ac Te
12 20 48
Direct
0.7500 0.3750 0.1250
0.8750 0.7500 0.1250
0.3750 0.7500 0.6250
0.2500 0.1250 0.3750
0.8750 0.1250 0.2500
0.3750 0.6250 0.2500
0.6250 0.3750 0.7500
0.1250 0.8750 0.7500
0.7500 0.8750 0.6250
0.6250 0.2500 0.3750
0.1250 0.2500 0.8750
0.2500 0.6250 0.8750
0.1250 0.3750 0.2500
0.0000 0.5000 0.0000
0.0000 0.0000 0.0000
0.3750 0.2500 0.1250
0.5000 0.0000 0.5000
0.5000 0.5000 0.0000
0.1250 0.7500 0.3750
0.7500 0.1250 0.8750
0.7500 0.6250 0.3750
0.3750 0.1250 0.7500
0.6250 0.8750 0.2500
0.5000 0.5000 0.5000
0.5000 0.0000 0.0000
0.0000 0.0000 0.5000
0.2500 0.3750 0.6250
0.2500 0.8750 0.1250
0.0000 0.5000 0.5000
0.8750 0.2500 0.6250
0.6250 0.7500 0.8750
0.8750 0.6250 0.7500
0.7399 0.1182 0.0634
0.3236 0.5634 0.4452
0.9366 0.3818 0.2601
0.5634 0.2399 0.1182
0.6217 0.7399 0.6764
0.9366 0.5548 0.1764
0.3236 0.7601 0.3783
0.0548 0.8783 0.1182
0.5548 0.9366 0.6764
0.7399 0.6217 0.1764
0.7601 0.4366 0.3818
0.8236 0.9452 0.0634
0.1182 0.7399 0.5634
0.3818 0.4452 0.1217
0.1217 0.9452 0.3818
0.3783 0.1182 0.5548
0.1217 0.1764 0.2399
0.4366 0.6764 0.0548
0.8236 0.8783 0.2601
0.1182 0.3783 0.0548
0.3818 0.9366 0.7601
0.5548 0.6182 0.3783
0.9452 0.8236 0.5634
0.7601 0.3236 0.8783
0.4452 0.3818 0.6217
0.0548 0.1764 0.4366
0.2399 0.6764 0.1217
0.1764 0.1217 0.7399
0.6182 0.0634 0.2399
0.8818 0.6217 0.9452
0.5634 0.3236 0.9452
0.6217 0.8818 0.4452
0.8783 0.8236 0.7601
0.8783 0.0548 0.6182
0.8818 0.2601 0.4366
0.1764 0.0548 0.9366
0.6182 0.5548 0.8783
0.4452 0.0634 0.3236
0.2601 0.3783 0.8236
0.2399 0.5634 0.6182
0.9452 0.1217 0.8818
0.6764 0.2399 0.6217
0.4366 0.7601 0.8818
0.0634 0.4452 0.8236
0.3783 0.2601 0.3236
0.0634 0.6182 0.7399
0.6764 0.4366 0.5548
0.2601 0.8818 0.9366
```

Lu2PuSb | PBE | relaxed

- energy above the lowest structure with this stoichiometry (meV/atom) = 0
- total DFT energy (no corrections) (eV/cell) = -29.00
- DOS at the Fermi energy (states/eV/f.u.) = 10.869
- energy relative to the elements, uncorrected (eV per atom) = -0.376

Structure (POSCAR):
```
Lu2PuSb
1.0
-0.3940 4.4763 -0.8012
-2.5737 0.4869 3.9860
3.9945 0.7958 2.4820
Sb Lu Pu
1 2 1
Direct
0.5000 0.0000 0.0000
0.0000 0.0000 0.5000
0.0000 0.5000 0.0000
0.5000 0.5000 0.5000
```